The following is a GGA-PBE calculation of a relaxed Er7Ag2Bi2 crystal, from Alexandria.

a b c (Å): 8.9460 10.9231 6.9990
angles (deg): 90.00 90.00 90.00
Closest atoms and distances in Å follow each position.
Space group Cmmm (No. 65)
Asymmetric unit:
Er 0.0000 0.0000 0.0000 (multiplicity 2)  2 Ag 3.06
Er 0.0000 0.5000 0.2415 (multiplicity 4)  2 Ag 2.94, 2 Bi 3.27
Er 0.2500 0.2500 0.2540 (multiplicity 8)  2 Ag 2.88
Ag 0.0000 0.2797 0.0000 (multiplicity 4)  7 Er 2.88-3.06
Bi 0.1950 0.0000 0.5000 (multiplicity 4)  6 Er 3.27, 1 Bi 3.49

Computed properties:
- total magnetic moment (μB/f.u.) = 0.00
- energy of formation from the pure elements (eV per atom) = -0.1053
- V (Å³ per cell) = 683.9